Record 1
HoErTeS: relaxed, PBE.

```
data_HoErTeS
_chemical_formula_sum 'Ho3 Er3 Te3 S3'
_cell_length_a 3.9853
_cell_length_b 3.9853
_cell_length_c 21.2198
_cell_angle_alpha 90.00
_cell_angle_beta 90.00
_cell_angle_gamma 120.00
_symmetry_space_group_name_H-M 'R 3 m'
_symmetry_Int_Tables_number 160
_symmetry_space_group_name_Hall 'R 3 -2"'
loop_
_atom_site_label
_atom_site_type_symbol
_atom_site_fract_x
_atom_site_fract_y
_atom_site_fract_z
Ho1 Ho 0.0000 0.0000 0.0000
Er1 Er 0.0000 0.0000 0.8049
Te1 Te 0.0000 0.0000 0.2348
S1 S 0.0000 0.0000 0.4053
```



Record 2
HoErTe2S: relaxed, PBE.

```
data_HoErTe2S
_chemical_formula_sum 'Ho2 Er2 Te4 S2'
_cell_length_a 4.371
_cell_length_b 4.371
_cell_length_c 15.559
_cell_angle_alpha 90.00
_cell_angle_beta 90.00
_cell_angle_gamma 90.00
_symmetry_space_group_name_H-M 'P 4/n m m'
_symmetry_Int_Tables_number 129
loop_
_symmetry_equiv_pos_as_xyz
'x,y,z'
'-x,-y,-z'
'-y+1/2,x,z'
'y+1/2,-x,-z'
'-x+1/2,-y+1/2,z'
'x+1/2,y+1/2,-z'
'y,-x+1/2,z'
'-y,x+1/2,-z'
'x+1/2,-y,-z'
'-x+1/2,y,z'
'-y,-x,-z'
'y,x,z'
'-x,y+1/2,-z'
'x,-y+1/2,z'
'y+1/2,x+1/2,-z'
'-y+1/2,-x+1/2,z'
loop_
_atom_site_label
_atom_site_type_symbol
_atom_site_fract_x
_atom_site_fract_y
_atom_site_fract_z
Ho1 Ho 0.250 0.250 0.100
Er1 Er 0.250 0.250 0.614
Te1 Te 0.250 0.250 0.409
Te2 Te 0.250 0.250 0.800
S1 S 0.250 0.750 0.000
```



Record 3
Ho2ErTe2S2: relaxed, PBE.

```
data_Ho2ErTe2S2
_chemical_formula_sum 'Ho4 Er2 Te4 S4'
_cell_length_a 5.007
_cell_length_b 5.007
_cell_length_c 15.535
_cell_angle_alpha 90.00
_cell_angle_beta 90.00
_cell_angle_gamma 90.00
_symmetry_space_group_name_H-M 'I 4/m m m'
_symmetry_Int_Tables_number 139
_symmetry_space_group_name_Hall '-I 4 2'
loop_
_atom_site_label
_atom_site_type_symbol
_atom_site_fract_x
_atom_site_fract_y
_atom_site_fract_z
Ho1 Ho 0.000 0.000 0.112
Er1 Er 0.000 0.000 0.500
Te1 Te 0.000 0.000 0.310
S1 S 0.000 0.500 0.000
```



Record 4
Ho2ErTh3S6: relaxed, PBE.

```
data_Ho2ErTh3S6
_chemical_formula_sum 'Ho4 Er2 Th6 S12'
_cell_length_a 6.725
_cell_length_b 11.585
_cell_length_c 7.124
_cell_angle_alpha 90.00
_cell_angle_beta 108.14
_cell_angle_gamma 90.00
_symmetry_space_group_name_H-M 'C 1 2/m 1'
_symmetry_Int_Tables_number 12
_symmetry_space_group_name_Hall '-C 2y'
loop_
_atom_site_label
_atom_site_type_symbol
_atom_site_fract_x
_atom_site_fract_y
_atom_site_fract_z
Ho1 Ho 0.000 0.167 0.000
Er1 Er 0.000 0.500 0.000
Th1 Th 0.000 0.000 0.500
Th2 Th 0.000 0.333 0.500
S1 S 0.243 0.334 0.230
S2 S 0.245 0.000 0.231
```



Record 5
Ho2ErThS4: relaxed, PBE.

```
data_Ho2ErThS4
_chemical_formula_sum 'Ho2 Er1 Th1 S4'
_cell_length_a 6.800
_cell_length_b 3.891
_cell_length_c 6.829
_cell_angle_alpha 90.00
_cell_angle_beta 109.11
_cell_angle_gamma 90.00
_symmetry_space_group_name_H-M 'P 1 2/m 1'
_symmetry_Int_Tables_number 10
_symmetry_space_group_name_Hall '-P 2y'
loop_
_atom_site_label
_atom_site_type_symbol
_atom_site_fract_x
_atom_site_fract_y
_atom_site_fract_z
Ho1 Ho 0.000 0.000 0.000
Ho2 Ho 0.000 0.500 0.500
Er1 Er 0.500 0.000 0.500
Th1 Th 0.500 0.500 0.000
S1 S 0.240 0.000 0.738
S2 S 0.246 0.500 0.257
```



Record 6
Ho2Er3ThS6: relaxed, PBE.

```
data_Ho2Er3ThS6
_chemical_formula_sum 'Ho4 Er6 Th2 S12'
_cell_length_a 17.019
_cell_length_b 3.895
_cell_length_c 7.835
_cell_angle_alpha 90.00
_cell_angle_beta 103.37
_cell_angle_gamma 90.00
_symmetry_space_group_name_H-M 'C 1 2/m 1'
_symmetry_Int_Tables_number 12
_symmetry_space_group_name_Hall '-C 2y'
loop_
_atom_site_label
_atom_site_type_symbol
_atom_site_fract_x
_atom_site_fract_y
_atom_site_fract_z
Ho1 Ho 0.164 0.000 0.329
Er1 Er 0.000 0.500 0.500
Er2 Er 0.163 0.000 0.834
Th1 Th 0.000 0.500 0.000
S1 S 0.000 0.000 0.264
S2 S 0.168 0.500 0.584
S3 S 0.173 0.500 0.085
```



Number 1: formation energy without anion corrections -6.59 eV per formula unit, calculated total energy -23.00 eV/f.u.. Number 2: formation energy without anion corrections -7.20 eV per formula unit, calculated total energy -26.75 eV/f.u.. Number 3: formation energy without anion corrections -9.25 eV per formula unit, calculated total energy -37.50 eV/f.u.. Number 4: formation energy without anion corrections -22.74 eV per formula unit, calculated total energy -83.48 eV/f.u.. Number 5: formation energy without anion corrections -15.33 eV per formula unit, calculated total energy -52.98 eV/f.u.. Number 6: formation energy without anion corrections -23.15 eV per formula unit, calculated total energy -78.18 eV/f.u..